1.
ScBiTe3 (PBEsol, optimized geometry); symmetry = Pm-3m, No. 221; final energy = -4.445 eV/atom; ΔE_f (raw) = -3.49 kcal/mol of atoms
1.0
5.434 0.000 0.000
0.000 5.434 0.000
0.000 0.000 5.434
Sc Bi Te
1 1 3
Direct
0.000 0.000 0.000 Sc
0.500 0.500 0.500 Bi
0.000 0.000 0.500 Te
0.000 0.500 0.000 Te
0.500 0.000 0.000 Te

=====

2.
YCu4Ag (PBEsol, optimized geometry); E_form = -0.2402 eV/atom; symmetry = F-43m, No. 216; final energy = -4.818 eV/atom
1.0
0.000 3.513 3.513
3.513 0.000 3.513
3.513 3.513 0.000
Y Cu Ag
1 4 1
Direct
0.000 0.000 0.000 Y
0.376 0.376 0.376 Cu
0.376 0.376 0.872 Cu
0.376 0.872 0.376 Cu
0.872 0.376 0.376 Cu
0.750 0.750 0.750 Ag

=====

3.
BeAlPt2 (PBEsol, optimized geometry); E_form = -0.7809 eV/atom; symmetry = Cm, No. 8; final energy = -6.286 eV/atom
1.0
4.501 -1.406 0.000
4.501 1.406 0.000
-1.150 0.000 4.111
Be Al Pt
1 1 2
Direct
0.000 0.000 0.000 Be
0.253 0.253 0.626 Al
0.505 0.505 0.490 Pt
0.729 0.729 0.104 Pt

=====

4.
MgMo2As (PBEsol, optimized geometry); E_form = 0.2111 eV/atom; symmetry = I-4m2, No. 119; final energy = -7.379 eV/atom; distance to the lowest polymorph of the same formula = 22 meV/atom
1.0
-2.215 2.215 3.121
2.215 -2.215 3.121
2.215 2.215 -3.121
Mg Mo As
1 2 1
Direct
0.000 0.000 0.000 Mg
0.250 0.750 0.500 Mo
0.500 0.500 0.000 Mo
0.750 0.250 0.500 As

=====

5.
ZnRuBr2 (PBEsol, optimized geometry); symmetry = P4/mmm, No. 123; final energy = -3.220 eV/atom; distance to the lowest polymorph of the same formula = 564 meV/atom; ΔE_f (raw) = 15.07 kcal/mol of atoms
1.0
4.658 0.000 0.000
0.000 4.658 0.000
0.000 0.000 3.162
Zn Ru Br
1 1 2
Direct
0.000 0.000 0.000 Zn
0.500 0.500 0.000 Ru
0.000 0.500 0.500 Br
0.500 0.000 0.500 Br

=====

6.
Y2PPt (PBEsol, optimized geometry); E_form = -1.3527 eV/atom; symmetry = Amm2, No. 38; final energy = -7.952 eV/atom
1.0
4.132 0.000 0.000
0.000 1.931 5.228
0.000 -1.931 5.228
Y P Pt
2 1 1
Direct
0.000 0.000 0.000 Y
0.500 0.278 0.278 Y
0.500 0.556 0.556 P
0.000 0.724 0.724 Pt